This record from Alexandria describes NiPtAu2 after structural relaxation. The functional is GGA-PBE.

a = 4.4875 Å, b = 4.4875 Å, c = 4.4875 Å
α = 60.00°, β = 60.00°, γ = 60.00°
Closest atoms and distances in Å follow each position.
Positions (direct):
Au1 0.0000 0.0000 0.0000  4 Pt 2.75, 4 Au 2.75
Au2 0.2500 0.2500 0.2500  4 Ni 2.75, 4 Au 2.75
Ni1 0.5000 0.5000 0.5000  4 Au 2.75, 4 Pt 2.75
Pt1 0.7500 0.7500 0.7500  4 Au 2.75, 4 Ni 2.75

Calculated values
The calculation puts the total moment at 0.166 μB per atom. The calculation puts the density of states at the Fermi level at 5.079 states/eV/cell. The calculation puts the energy of formation at 157 meV per atom. The space group is F-43m, No. 216. The density comes out at 16.83 g/cm3.